VASP calculation (PBE) on TlTc2Ir after structural relaxation.

abc: 4.970 4.970 4.970
angles: 132.89 132.89 68.83
Sites, in units of the cell vectors:
Tl 0.500 0.500 0.000
Ir 0.750 0.250 0.500
Tc 0.250 0.750 0.500
Tc 0.000 0.000 0.000

Total magnetic moment = 0.001 μB per formula unit
Energy above the lowest structure with this stoichiometry = 187.9 meV/atom
DOS at the Fermi energy = 1.20 states/eV per atom
Symmetry = No. 119
V = 65 Å³ per cell
Formation energy = 0.5151 eV per atom


VASP calculation (PBE) on TlTcIr2 after structural relaxation.

abc: 7.330 7.330 5.867
angles: 51.35 51.35 90.00
Sites, in units of the cell vectors:
Ir 0.167 0.625 0.250
Tc 0.500 0.500 0.000
Ir 0.875 0.833 0.750
Tl 0.750 0.250 0.500
Tc 0.250 0.750 0.500
Ir 0.375 0.417 0.750
Tl 0.000 0.000 0.000
Ir 0.583 0.125 0.250

Total magnetic moment = 0.000 μB per formula unit
Energy above the lowest structure with this stoichiometry = 570.8 meV/atom
DOS at the Fermi energy = 1.76 states/eV per atom
Symmetry = No. 122
V = 148 Å³ per cell
Formation energy = 0.7760 eV per atom


VASP calculation (PBE) on Tl2TcIr after structural relaxation.

abc: 3.309 3.304 6.790
angles: 90.00 90.00 90.00
Last column: magnetic moment on the atom in μB.
Sites, in units of the cell vectors:
Tc 0.500 0.500 0.750  1.22
Tl 0.000 0.000 0.002  -0.01
Tl 0.000 0.000 0.498  -0.01
Ir 0.500 0.500 0.250  0.04

Total magnetic moment = 1.367 μB per formula unit
Energy above the lowest structure with this stoichiometry = 384.5 meV/atom
DOS at the Fermi energy = 0.80 states/eV per atom
Symmetry = No. 123
V = 74 Å³ per cell
Formation energy = 0.7490 eV per atom


VASP calculation (PBE) on Tl2TcIr after structural relaxation.

abc: 3.074 3.074 9.231
angles: 90.00 90.00 118.51
Last column: magnetic moment on the atom in μB.
Sites, in units of the cell vectors:
Ir 0.500 0.500 0.250  -0.02
Tl 0.000 0.000 0.002  -0.01
Tc 0.500 0.500 0.750  0.86
Tl 0.000 0.000 0.498  -0.01

Total magnetic moment = 0.879 μB per formula unit
Energy above the lowest structure with this stoichiometry = 434.0 meV/atom
DOS at the Fermi energy = 0.70 states/eV per atom
Symmetry = No. 65
V = 77 Å³ per cell
Formation energy = 0.7985 eV per atom


VASP calculation (PBE) on TlTcIr after structural relaxation.

abc: 4.377 4.377 4.377
angles: 60.00 60.00 60.00
Last column: magnetic moment on the atom in μB.
Sites, in units of the cell vectors:
Ir 0.750 0.750 0.750  0.01
Tc 0.000 0.000 0.000  0.34
Tl 0.500 0.500 0.500  0.00

Total magnetic moment = 0.382 μB per formula unit
Energy above the lowest structure with this stoichiometry = 282.9 meV/atom
DOS at the Fermi energy = 1.06 states/eV per atom
Symmetry = No. 216
V = 59 Å³ per cell
Formation energy = 0.6314 eV per atom


VASP calculation (PBE) on TlTcIr after structural relaxation.

abc: 6.469 6.469 2.905
angles: 77.02 77.03 25.95
Sites, in units of the cell vectors:
Ir 0.983 0.983 0.017
Tl 0.668 0.668 0.332
Tc 0.349 0.349 0.651

Total magnetic moment = 0.000 μB per formula unit
Energy above the lowest structure with this stoichiometry = 0.0 meV/atom
DOS at the Fermi energy = 1.28 states/eV per atom
Symmetry = No. 107
V = 52 Å³ per cell
Formation energy = 0.3485 eV per atom


VASP calculation (PBE) on Tl2TcIr after structural relaxation.

abc: 7.654 7.654 6.093
angles: 51.09 51.09 90.00
Sites, in units of the cell vectors:
Tl 0.117 0.625 0.250
Ir 0.750 0.250 0.500
Ir 0.000 0.000 0.000
Tl 0.633 0.125 0.250
Tc 0.500 0.500 0.000
Tl 0.875 0.883 0.750
Tl 0.375 0.367 0.750
Tc 0.250 0.750 0.500

Total magnetic moment = 0.000 μB per formula unit
Energy above the lowest structure with this stoichiometry = 711.4 meV/atom
DOS at the Fermi energy = 1.44 states/eV per atom
Symmetry = No. 122
V = 164 Å³ per cell
Formation energy = 1.0759 eV per atom


VASP calculation (PBE) on Tl2TcIr after structural relaxation.

abc: 4.703 4.703 4.703
angles: 60.00 60.00 60.00
Sites, in units of the cell vectors:
Tl 0.750 0.750 0.750
Tc 0.000 0.000 0.000
Tl 0.250 0.250 0.250
Ir 0.500 0.500 0.500

Total magnetic moment = 0.000 μB per formula unit
Energy above the lowest structure with this stoichiometry = 386.0 meV/atom
DOS at the Fermi energy = 1.09 states/eV per atom
Symmetry = No. 225
V = 74 Å³ per cell
Formation energy = 0.7505 eV per atom


VASP calculation (PBE) on Tl2TcIr after structural relaxation.

abc: 2.893 3.540 8.384
angles: 90.00 90.00 90.00
Sites, in units of the cell vectors:
Ir 0.000 0.000 0.556
Tl 0.000 0.000 0.952
Tc 0.500 0.500 0.698
Tl 0.500 0.500 0.294

Total magnetic moment = 0.000 μB per formula unit
Energy above the lowest structure with this stoichiometry = 19.9 meV/atom
DOS at the Fermi energy = 0.67 states/eV per atom
Symmetry = No. 25
V = 86 Å³ per cell
Formation energy = 0.3844 eV per atom


VASP calculation (PBE) on TlTcIr2 after structural relaxation.

abc: 4.882 4.882 4.960
angles: 82.13 82.13 33.92
Sites, in units of the cell vectors:
Ir 0.992 0.992 0.023
Ir 0.508 0.508 0.477
Tc 0.250 0.250 0.250
Tl 0.750 0.750 0.750

Total magnetic moment = 0.000 μB per formula unit
Energy above the lowest structure with this stoichiometry = 224.3 meV/atom
DOS at the Fermi energy = 1.08 states/eV per atom
Symmetry = No. 12
V = 65 Å³ per cell
Formation energy = 0.4296 eV per atom


VASP calculation (PBE) on Tl2TcIr after structural relaxation.

abc: 9.089 9.089 9.089
angles: 19.78 19.78 19.78
Last column: magnetic moment on the atom in μB.
Sites, in units of the cell vectors:
Tc 0.750 0.750 0.750  0.70
Tl 0.501 0.501 0.501  0.00
Ir 0.250 0.250 0.250  0.07
Tl 0.999 0.999 0.999  0.00

Total magnetic moment = 0.834 μB per formula unit
Energy above the lowest structure with this stoichiometry = 383.4 meV/atom
DOS at the Fermi energy = 0.65 states/eV per atom
Symmetry = No. 166
V = 75 Å³ per cell
Formation energy = 0.7479 eV per atom


VASP calculation (PBE) on TlTc2Ir after structural relaxation.

abc: 5.034 5.034 2.870
angles: 90.00 90.00 116.02
Sites, in units of the cell vectors:
Tc 0.000 0.000 0.000
Tl 0.500 0.000 0.500
Ir 0.000 0.500 0.500
Tc 0.500 0.500 0.000

Total magnetic moment = 0.001 μB per formula unit
Energy above the lowest structure with this stoichiometry = 288.4 meV/atom
DOS at the Fermi energy = 1.53 states/eV per atom
Symmetry = No. 65
V = 65 Å³ per cell
Formation energy = 0.6156 eV per atom


What did the third record say?
VASP calculation (PBE) on Tl2TcIr after structural relaxation.

abc: 3.309 3.304 6.790
angles: 90.00 90.00 90.00
Last column: magnetic moment on the atom in μB.
Sites, in units of the cell vectors:
Tc 0.500 0.500 0.750  1.22
Tl 0.000 0.000 0.002  -0.01
Tl 0.000 0.000 0.498  -0.01
Ir 0.500 0.500 0.250  0.04

Total magnetic moment = 1.367 μB per formula unit
Energy above the lowest structure with this stoichiometry = 384.5 meV/atom
DOS at the Fermi energy = 0.80 states/eV per atom
Symmetry = No. 123
V = 74 Å³ per cell
Formation energy = 0.7490 eV per atom